This record from the Alexandria database describes a relaxed structure of LiNpTe2. The functional is PBE-GGA.

Summary:
Crystal system ... tetragonal
DFT total energy ... -5.937 eV/atom

Cell lengths 3.756, 3.756, 7.599 Å; angles 90.00, 90.00, 90.00 degrees
Positions (direct):
Li 0.000 0.000 0.000
Np 0.000 0.000 0.500
Te 0.500 0.500 0.259
Te 0.500 0.500 0.741